Here is a geometry-optimized Hf6Pd5Rh structure from Alexandria. Energies are from PBE.

Calculated values
Energy of formation from the pure elements   -0.67 eV/atom
Final energy   -8.421 eV per atom
Calculated volume   18.20 Å³/atom

Unit cell a=14.6083 b=6.8085 c=4.6211 alpha=90.00 beta=108.12 gamma=90.00
Space group C2/m (No. 12)
Inequivalent atoms, fractional coordinates:
Hf 0.0000 0.2437 0.0000 x4
Hf 0.1636 0.2466 0.6635 x8
Pd 0.0000 0.5000 0.5000 x2
Pd 0.1668 0.5000 0.1671 x4
Pd 0.1735 0.0000 0.1736 x4
Rh 0.0000 0.0000 0.5000 x2

***

Here is a geometry-optimized MoAu2 structure from Alexandria. Energies are from PBE.

Calculated values
Energy of formation from the pure elements   0.28 eV/atom
Final energy   -5.514 eV per atom
Calculated volume   17.29 Å³/atom

Unit cell a=11.0380 b=2.7552 c=7.0445 alpha=90.00 beta=104.46 gamma=90.00
Space group Cm (No. 8)
Inequivalent atoms, fractional coordinates:
Mo 0.0000 0.0000 0.0000 x2
Mo 0.1536 0.5000 0.3069 x2
Au 0.0912 0.5000 0.7092 x2
Au 0.2724 0.0000 0.0381 x2
Au 0.3177 0.0000 0.6497 x2
Au 0.4372 0.5000 0.3679 x2

***

Here is a geometry-optimized NdY3Bi4 structure from Alexandria. Energies are from PBE.

Calculated values
Energy of formation from the pure elements   -0.91 eV/atom
Final energy   -5.869 eV per atom
Calculated volume   32.52 Å³/atom

Unit cell a=6.3835 b=6.3835 c=6.3835 alpha=90.00 beta=90.00 gamma=90.00
Space group Pm-3m (No. 221)
Inequivalent atoms, fractional coordinates:
Nd 0.0000 0.0000 0.0000 x1
Y 0.0000 0.5000 0.5000 x3
Bi 0.0000 0.0000 0.5000 x3
Bi 0.5000 0.5000 0.5000 x1

***

Here is a geometry-optimized TlP2Au structure from Alexandria. Energies are from PBE.

Calculated values
Energy of formation from the pure elements   0.68 eV/atom
Final energy   -3.440 eV per atom
Calculated volume   19.99 Å³/atom
Distance to the lowest polymorph of the same formula   2.821 eV per formula unit

Unit cell a=4.0200 b=4.0200 c=4.9484 alpha=90.00 beta=90.00 gamma=90.00
Space group P4/mmm (No. 123)
Inequivalent atoms, fractional coordinates:
Tl 0.0000 0.0000 0.0000 x1
P 0.0000 0.5000 0.5000 x2
Au 0.5000 0.5000 0.0000 x1

***

Here is a geometry-optimized GaFe3I structure from Alexandria. Energies are from PBE.

Calculated values
Final energy   -4.906 eV per atom
Calculated volume   18.58 Å³/atom
Formation energy (no corrections)   1.0872 eV/atom
Distance to the lowest polymorph of the same formula   0.000 eV per formula unit

Unit cell a=4.5289 b=4.5289 c=4.5289 alpha=90.00 beta=90.00 gamma=90.00
Space group Pm-3m (No. 221)
Inequivalent atoms, fractional coordinates:
Ga 0.0000 0.0000 0.0000 x1
Fe 0.0000 0.0000 0.5000 x3
I 0.5000 0.5000 0.5000 x1

***

Here is a geometry-optimized Rb3Ga2Au3 structure from Alexandria. Energies are from PBE.

Calculated values
Energy of formation from the pure elements   -0.29 eV/atom
Final energy   -2.634 eV per atom
Calculated volume   30.73 Å³/atom
Distance to the lowest polymorph of the same formula   0.000 eV per formula unit

Unit cell a=8.9136 b=15.8470 c=6.9614 alpha=90.00 beta=90.00 gamma=90.00
Space group Pnma (No. 62)
Inequivalent atoms, fractional coordinates:
Rb 0.0278 0.1118 0.1265 x8
Rb 0.2001 0.2500 0.5691 x4
Ga 0.1244 0.5867 0.3874 x8
Au 0.1637 0.7500 0.5185 x4
Au 0.1679 0.0390 0.6376 x8

***

Here is a geometry-optimized Nd8C3S3N structure from Alexandria. Energies are from PBE.

Calculated values
Final energy   -6.823 eV per atom
Calculated volume   22.51 Å³/atom
Formation energy (no corrections)   -1.0550 eV/atom

Unit cell a=7.6714 b=7.6714 c=19.8751 alpha=90.00 beta=90.00 gamma=120.00
Space group R-3m (No. 166, hexagonal axes)
Inequivalent atoms, fractional coordinates:
Nd 0.0000 0.0000 0.2396 x6
Nd 0.0027 0.5013 0.2371 x18
C 0.0000 0.5000 0.5000 x9
S 0.0000 0.5000 0.0000 x9
N 0.0000 0.0000 0.5000 x3

***

Here is a geometry-optimized Tl3Hg2Te4 structure from Alexandria. Energies are from PBE.

Calculated values
Final energy   -2.430 eV per atom
Calculated volume   35.95 Å³/atom
Formation energy (no corrections)   -0.1778 eV/atom
Distance to the lowest polymorph of the same formula   0.047 eV per formula unit

Unit cell a=14.4591 b=11.7323 c=7.6617 alpha=90.00 beta=95.25 gamma=90.00
Space group C2/c (No. 15)
Inequivalent atoms, fractional coordinates:
Tl 0.0000 0.1094 0.2500 x4
Tl 0.1190 0.3777 0.9205 x8
Hg 0.2083 0.1244 0.6205 x8
Te 0.1093 0.3292 0.4843 x8
Te 0.1564 0.0965 0.9687 x8